Computed, not measured: crystalline Pm5Nd2In at its relaxed geometry at the GGA-PBE level of DFT.

## Properties
D(E_F): 19.9 states/eV/cell
E_tot: -4.62 eV/atom
Total magnetic moment: 0.00 Bohr magnetons per cell
ΔE_f: -113 meV/atom

Unit cell a=5.010 b=5.010 c=20.821 alpha=90.00 beta=90.00 gamma=90.00
Space group I4/mmm (No. 139)
Inequivalent atoms, fractional coordinates:
Pm (0.000, 0.000, 0.000) x2
Pm (0.000, 0.500, 0.120) x8
Nd (0.000, 0.000, 0.247) x4
In (0.000, 0.000, 0.500) x2

***

Computed, not measured: crystalline CaTiSn2Rh at its relaxed geometry at the GGA-PBE level of DFT.

## Properties
D(E_F): 2.9 states/eV/cell
E_tot: -5.09 eV/atom
Total magnetic moment: 0.00 Bohr magnetons per cell
ΔE_f: -43 meV/atom

Unit cell a=5.277 b=5.277 c=4.601 alpha=90.00 beta=90.00 gamma=90.00
Space group P4/mmm (No. 123)
Inequivalent atoms, fractional coordinates:
Ca (0.000, 0.000, 0.000) x1
Ti (0.500, 0.500, 0.500) x1
Sn (0.000, 0.500, 0.500) x2
Rh (0.500, 0.500, 0.000) x1

***

Computed, not measured: crystalline NaAgRuCl6 at its relaxed geometry at the GGA-PBE level of DFT.

## Properties
D(E_F): 12.3 states/eV/cell
Uncorrected formation energy: -0.752 eV per atom
E_tot: -3.48 eV/atom
Total magnetic moment: 4.01 Bohr magnetons per cell

Unit cell a=6.6447 b=6.6447 c=11.3388 alpha=90.00 beta=90.00 gamma=120.00
Space group P-31c (No. 163)
Inequivalent atoms, fractional coordinates:
Na (0.3333, 0.6667, 0.2500) x2
Ag (0.0000, 0.0000, 0.0000) x2
Ru (0.3333, 0.6667, 0.7500) x2
Cl (0.0452, 0.3767, 0.6289) x12

***

Computed, not measured: crystalline LaAlAs2 at its relaxed geometry at the GGA-PBE level of DFT.

## Properties
D(E_F): 2.3 states/eV/cell
E_tot: -5.21 eV/atom
Total magnetic moment: 0.00 Bohr magnetons per cell
ΔE_f: -720 meV/atom

Unit cell a=7.827 b=4.510 c=5.720 alpha=90.00 beta=117.29 gamma=90.00
Space group C2/m (No. 12)
Inequivalent atoms, fractional coordinates:
La (0.000, 0.000, 0.000) x2
Al (0.000, 0.500, 0.500) x2
As (0.222, 0.000, 0.666) x4

***

Computed, not measured: crystalline TlRe2W at its relaxed geometry at the GGA-PBE level of DFT.

## Properties
D(E_F): 6.4 states/eV/cell
Energy above the most stable polymorph in this dataset: 170.6 meV/atom
E_tot: -9.32 eV/atom
Total magnetic moment: 0.00 Bohr magnetons per cell
ΔE_f: 736 meV/atom

Unit cell a=3.049 b=4.774 c=9.528 alpha=90.00 beta=90.00 gamma=90.00
Space group Cmm2 (No. 35)
Inequivalent atoms, fractional coordinates:
Tl (0.000, 0.000, 0.000) x2
Re (0.000, 0.000, 0.503) x2
Re (0.000, 0.500, 0.729) x2
W (0.000, 0.500, 0.274) x2

***

Computed, not measured: crystalline Tm2TiN at its relaxed geometry at the GGA-PBE level of DFT.

## Properties
D(E_F): 11.9 states/eV/cell
Uncorrected formation energy: -0.502 eV per atom
E_tot: -6.79 eV/atom
Total magnetic moment: 4.92 Bohr magnetons per cell

Unit cell a=3.3067 b=3.3067 c=25.7432 alpha=90.00 beta=90.00 gamma=120.00
Space group R-3m (No. 166, hexagonal axes)
Inequivalent atoms, fractional coordinates:
Tm (0.0000, 0.0000, 0.1145) x6
Ti (0.0000, 0.0000, 0.0000) x3
N (0.0000, 0.0000, 0.5000) x3

***

Computed, not measured: crystalline HfCo2Rh2 at its relaxed geometry at the GGA-PBE level of DFT.

## Properties
D(E_F): 12.6 states/eV/cell
Energy above the most stable polymorph in this dataset: 58.4 meV/atom
E_tot: -7.89 eV/atom
Total magnetic moment: 7.56 Bohr magnetons per cell
ΔE_f: -119 meV/atom

Unit cell a=7.131 b=7.131 c=2.846 alpha=90.00 beta=90.00 gamma=90.00
Space group P4/mbm (No. 127)
Inequivalent atoms, fractional coordinates:
Hf (0.000, 0.000, 0.000) x2
Co (0.168, 0.332, 0.500) x4
Rh (0.131, 0.631, 0.000) x4

***

Computed, not measured: crystalline InW at its relaxed geometry at the GGA-PBE level of DFT.

## Properties
D(E_F): 5.4 states/eV/cell
Energy above the most stable polymorph in this dataset: 213.0 meV/atom
E_tot: -7.23 eV/atom
Total magnetic moment: 0.00 Bohr magnetons per cell
ΔE_f: 615 meV/atom

Unit cell a=3.406 b=4.771 c=9.381 alpha=90.00 beta=90.00 gamma=90.00
Space group Imma (No. 74)
Inequivalent atoms, fractional coordinates:
In (0.000, 0.250, 0.114) x4
W (0.000, 0.250, 0.648) x4

***

Computed, not measured: crystalline ZrCdSe2 at its relaxed geometry at the GGA-PBE level of DFT.

## Properties
D(E_F): 1.3 states/eV/cell
Uncorrected formation energy: -0.623 eV per atom
E_tot: -4.73 eV/atom
Total magnetic moment: 0.00 Bohr magnetons per cell

Unit cell a=3.647 b=5.168 c=12.533 alpha=90.00 beta=90.00 gamma=90.00
Space group Immm (No. 71)
Inequivalent atoms, fractional coordinates:
Zr (0.000, 0.000, 0.000) x2
Cd (0.000, 0.000, 0.500) x2
Se (0.000, 0.500, 0.348) x4

***

Computed, not measured: crystalline BaPaSe2 at its relaxed geometry at the GGA-PBE level of DFT.

## Properties
D(E_F): 18.7 states/eV/cell
Uncorrected formation energy: -1.476 eV per atom
E_tot: -6.07 eV/atom
Total magnetic moment: 4.55 Bohr magnetons per cell

Unit cell a=4.2243 b=4.2243 c=22.8184 alpha=90.00 beta=90.00 gamma=120.00
Space group R-3m (No. 166, hexagonal axes)
Inequivalent atoms, fractional coordinates:
Ba (0.0000, 0.0000, 0.0000) x3
Pa (0.0000, 0.0000, 0.5000) x3
Se (0.0000, 0.0000, 0.2388) x6

***

Computed, not measured: crystalline Ca3Pb2Au2 at its relaxed geometry at the GGA-PBE level of DFT.

## Properties
D(E_F): 4.2 states/eV/cell
E_tot: -3.46 eV/atom
Total magnetic moment: 0.00 Bohr magnetons per cell
ΔE_f: -609 meV/atom

Unit cell a=11.897 b=4.314 c=8.052 alpha=90.00 beta=106.93 gamma=90.00
Space group C2/m (No. 12)
Inequivalent atoms, fractional coordinates:
Ca (0.000, 0.000, 0.000) x2
Ca (0.174, 0.000, 0.667) x4
Pb (0.056, 0.500, 0.344) x4
Au (0.173, 0.500, 0.935) x4

***

Computed, not measured: crystalline PrSmSnHg at its relaxed geometry at the GGA-PBE level of DFT.

## Properties
D(E_F): 3.6 states/eV/cell
Energy above the most stable polymorph in this dataset: 21.1 meV/atom
E_tot: -4.03 eV/atom
Total magnetic moment: 0.00 Bohr magnetons per cell
ΔE_f: -578 meV/atom

Unit cell a=3.869 b=3.869 c=7.620 alpha=90.00 beta=90.00 gamma=90.00
Space group P4mm (No. 99)
Inequivalent atoms, fractional coordinates:
Pr (0.000, 0.000, 0.000) x1
Sm (0.000, 0.000, 0.492) x1
Sn (0.500, 0.500, 0.740) x1
Hg (0.500, 0.500, 0.256) x1

***

Computed, not measured: crystalline Ac2TbNd5Er at its relaxed geometry at the GGA-PBE level of DFT.

## Properties
D(E_F): 49.5 states/eV/cell
E_tot: -4.45 eV/atom
Total magnetic moment: 0.00 Bohr magnetons per cell
ΔE_f: 134 meV/atom

Unit cell a=5.829 b=20.781 c=10.944 alpha=90.00 beta=90.00 gamma=90.00
Space group Cmc2_1 (No. 36)
Inequivalent atoms, fractional coordinates:
Ac (0.000, 0.113, 0.000) x4
Ac (0.000, 0.117, 0.582) x4
Tb (0.000, 0.406, 0.735) x4
Nd (0.000, 0.019, 0.286) x4
Nd (0.000, 0.281, 0.577) x4
Nd (0.000, 0.293, 0.967) x4
Nd (0.000, 0.385, 0.286) x4
Nd (0.000, 0.484, 0.010) x4
Er (0.000, 0.205, 0.275) x4

***

Computed, not measured: crystalline Ga2HgO at its relaxed geometry at the GGA-PBE level of DFT.

## Properties
D(E_F): 1.6 states/eV/cell
Uncorrected formation energy: 0.051 eV per atom
Energy above the most stable polymorph in this dataset: 497.9 meV/atom
E_tot: -2.78 eV/atom
Total magnetic moment: 0.00 Bohr magnetons per cell

Unit cell a=6.596 b=6.596 c=6.596 alpha=90.00 beta=90.00 gamma=90.00
Space group Fm-3m (No. 225)
Inequivalent atoms, fractional coordinates:
Ga (0.250, 0.250, 0.250) x8
Hg (0.000, 0.000, 0.000) x4
O (0.000, 0.000, 0.500) x4

***

Computed, not measured: crystalline SrIn3Ir3 at its relaxed geometry at the GGA-PBE level of DFT.

## Properties
D(E_F): 9.1 states/eV/cell
E_tot: -4.85 eV/atom
Total magnetic moment: 0.00 Bohr magnetons per cell
ΔE_f: 366 meV/atom

Unit cell a=7.323 b=7.323 c=7.323 alpha=90.00 beta=90.00 gamma=90.00
Space group Pm-3n (No. 223)
Inequivalent atoms, fractional coordinates:
Sr (0.000, 0.000, 0.000) x2
In (0.000, 0.250, 0.500) x6
Ir (0.000, 0.500, 0.250) x6

***

Computed, not measured: crystalline Ag6ClF5 at its relaxed geometry at the GGA-PBE level of DFT.

## Properties
D(E_F): 5.1 states/eV/cell
Uncorrected formation energy: -0.878 eV per atom
E_tot: -3.24 eV/atom
Total magnetic moment: 0.00 Bohr magnetons per cell

Unit cell a=6.218 b=6.243 c=6.313 alpha=80.20 beta=60.62 gamma=69.61
Space group P-1 (No. 2)
Inequivalent atoms, fractional coordinates:
Ag (0.060, 0.256, 0.354) x2
Ag (0.234, 0.737, 0.000) x2
Ag (0.413, 0.256, 0.646) x2
Cl (0.500, 0.000, 0.000) x1
F (0.000, 0.500, 0.000) x1
F (0.165, 0.999, 0.670) x2
F (0.333, 0.500, 0.334) x2

***

Computed, not measured: crystalline CuPPt2 at its relaxed geometry at the GGA-PBE level of DFT.

## Properties
D(E_F): 9.0 states/eV/cell
Energy above the most stable polymorph in this dataset: 289.8 meV/atom
E_tot: -5.29 eV/atom
Total magnetic moment: 0.00 Bohr magnetons per cell
ΔE_f: 105 meV/atom

Unit cell a=6.173 b=6.173 c=6.173 alpha=90.00 beta=90.00 gamma=90.00
Space group F-43m (No. 216)
Inequivalent atoms, fractional coordinates:
Cu (0.000, 0.000, 0.000) x4
P (0.250, 0.250, 0.750) x4
Pt (0.000, 0.000, 0.500) x4
Pt (0.250, 0.250, 0.250) x4

***

Computed, not measured: crystalline CaMgPd at its relaxed geometry at the GGA-PBE level of DFT.

## Properties
D(E_F): 5.6 states/eV/cell
E_tot: -3.55 eV/atom
Total magnetic moment: 0.00 Bohr magnetons per cell
ΔE_f: -623 meV/atom

Unit cell a=7.379 b=4.342 c=8.492 alpha=90.00 beta=90.00 gamma=90.00
Space group Pnma (No. 62)
Inequivalent atoms, fractional coordinates:
Ca (0.030, 0.250, 0.176) x4
Mg (0.140, 0.250, 0.562) x4
Pd (0.230, 0.750, 0.376) x4

***

Computed, not measured: crystalline AcEuMgHg at its relaxed geometry at the GGA-PBE level of DFT.

## Properties
D(E_F): 36.8 states/eV/cell
E_tot: -4.35 eV/atom
Total magnetic moment: 28.32 Bohr magnetons per cell
ΔE_f: -283 meV/atom

Unit cell a=8.040 b=8.040 c=8.040 alpha=90.00 beta=90.00 gamma=90.00
Space group F-43m (No. 216)
Inequivalent atoms, fractional coordinates:
Ac (0.000, 0.000, 0.000) x4
Eu (0.000, 0.000, 0.500) x4
Mg (0.250, 0.250, 0.250) x4
Hg (0.250, 0.250, 0.750) x4

***

Computed, not measured: crystalline K2ZrSe at its relaxed geometry at the GGA-PBE level of DFT.

## Properties
D(E_F): 8.6 states/eV/cell
Uncorrected formation energy: 0.212 eV per atom
E_tot: -3.34 eV/atom
Total magnetic moment: 0.00 Bohr magnetons per cell

Unit cell a=4.240 b=4.240 c=12.412 alpha=90.00 beta=90.00 gamma=90.00
Space group I4/mmm (No. 139)
Inequivalent atoms, fractional coordinates:
K (0.000, 0.500, 0.250) x4
Zr (0.000, 0.000, 0.000) x2
Se (0.000, 0.000, 0.500) x2